Entry 1:
First-principles (SCAN) data for a crystal of Sb2RuW relaxed with PBEsol, as listed in the Alexandria database.

Values from the calculation:
SG: No. 216
Total magnetic moment in Bohr magnetons per cell: 0.0
E_form (uncorrected) in meV/atom: 975
Relative energy among the computed polymorphs in meV per atom: 561

Cell lengths 4.6950, 4.6950, 4.6950 Å; angles 60.00, 60.00, 60.00 degrees
Fractional positions:
Ru1 0.5000 0.5000 0.5000
Sb1 0.0000 0.0000 0.0000
Sb2 0.2500 0.2500 0.2500
W1 0.7500 0.7500 0.7500


Entry 2:
First-principles (SCAN) data for a crystal of SbRu2W relaxed with PBEsol, as listed in the Alexandria database.

Values from the calculation:
SG: No. 25
Total magnetic moment in Bohr magnetons per cell: 0.0
E_form (uncorrected) in meV/atom: 287

Cell lengths 2.9520, 4.0229, 5.3026 Å; angles 90.00, 90.00, 90.00 degrees
Fractional positions:
Ru1 0.5000 0.0000 0.9681
Ru2 0.0000 0.5000 0.2772
Sb1 0.5000 0.0000 0.4713
W1 0.0000 0.5000 0.7835


Entry 3:
First-principles (SCAN) data for a crystal of Y3SbRu relaxed with PBEsol, as listed in the Alexandria database.

Values from the calculation:
SG: No. 221
Total magnetic moment in Bohr magnetons per cell: 0.6
E_form (uncorrected) in meV/atom: 632

Cell lengths 5.4940, 5.4940, 5.4940 Å; angles 90.00, 90.00, 90.00 degrees
Fractional positions:
Y1 0.0000 0.5000 0.0000
Y2 0.0000 0.0000 0.5000
Y3 0.5000 0.0000 0.0000
Sb1 0.0000 0.0000 0.0000
Ru1 0.5000 0.5000 0.5000


Entry 4:
First-principles (SCAN) data for a crystal of Y2SbRu2 relaxed with PBEsol, as listed in the Alexandria database.

Values from the calculation:
SG: No. 139
Total magnetic moment in Bohr magnetons per cell: 0.8
E_form (uncorrected) in meV/atom: -287

Cell lengths 3.5958, 3.5958, 8.8518 Å; angles 101.72, 101.72, 90.00 degrees
Fractional positions:
Y1 0.3863 0.3863 0.7725
Y2 0.6137 0.6137 0.2275
Sb1 0.0000 0.0000 0.0000
Ru1 0.2500 0.7500 0.5000
Ru2 0.7500 0.2500 0.5000


Entry 5:
First-principles (SCAN) data for a crystal of Zn2SbRu relaxed with PBEsol, as listed in the Alexandria database.

Values from the calculation:
SG: No. 123
Total magnetic moment in Bohr magnetons per cell: 0.0
E_form (uncorrected) in meV/atom: 91

Cell lengths 3.4534, 3.4534, 5.2906 Å; angles 90.00, 90.00, 90.00 degrees
Fractional positions:
Ru1 0.5000 0.5000 0.0000
Sb1 0.5000 0.5000 0.5000
Zn1 0.0000 0.0000 0.7738
Zn2 0.0000 0.0000 0.2262


Entry 6:
First-principles (SCAN) data for a crystal of Zn2SbRu relaxed with PBEsol, as listed in the Alexandria database.

Values from the calculation:
SG: No. 25
Total magnetic moment in Bohr magnetons per cell: 0.0
E_form (uncorrected) in meV/atom: 31

Cell lengths 3.1784, 3.6757, 5.4165 Å; angles 90.00, 90.00, 90.00 degrees
Fractional positions:
Ru1 0.0000 0.0000 0.5053
Sb1 0.5000 0.5000 0.7270
Zn1 0.0000 0.0000 0.0310
Zn2 0.5000 0.5000 0.2367


Entry 7:
First-principles (SCAN) data for a crystal of ZnSbRu relaxed with PBEsol, as listed in the Alexandria database.

Values from the calculation:
SG: No. 216
Total magnetic moment in Bohr magnetons per cell: 0.0
E_form (uncorrected) in meV/atom: 451
Relative energy among the computed polymorphs in meV per atom: 466

Cell lengths 4.2336, 4.2336, 4.2336 Å; angles 60.00, 60.00, 60.00 degrees
Fractional positions:
Ru1 0.0000 0.0000 0.0000
Sb1 0.5000 0.5000 0.5000
Zn1 0.2500 0.2500 0.2500


Entry 8:
First-principles (SCAN) data for a crystal of Zn2SbRu relaxed with PBEsol, as listed in the Alexandria database.

Values from the calculation:
SG: No. 160
Total magnetic moment in Bohr magnetons per cell: 0.0
E_form (uncorrected) in meV/atom: 196

Cell lengths 3.0785, 3.0785, 8.4621 Å; angles 79.52, 79.52, 60.00 degrees
Fractional positions:
Ru1 0.4973 0.4973 0.5080
Sb1 0.2419 0.2419 0.2743
Zn1 0.0075 0.0075 0.9776
Zn2 0.7533 0.7533 0.7402


Entry 9:
First-principles (SCAN) data for a crystal of ZnSbRu relaxed with PBEsol, as listed in the Alexandria database.

Values from the calculation:
SG: No. 42
Total magnetic moment in Bohr magnetons per cell: 0.0
E_form (uncorrected) in meV/atom: 430
Relative energy among the computed polymorphs in meV per atom: 445

Cell lengths 2.9964, 2.9964, 6.8552 Å; angles 97.20, 97.20, 115.27 degrees
Fractional positions:
Ru1 0.9970 0.9970 0.9940
Sb1 0.6506 0.6506 0.3012
Zn1 0.3524 0.3524 0.7048


Entry 10:
First-principles (SCAN) data for a crystal of Zn11SbRu3 relaxed with PBEsol, as listed in the Alexandria database.

Values from the calculation:
SG: No. 40
Total magnetic moment in Bohr magnetons per cell: 0.0
E_form (uncorrected) in meV/atom: -166

Cell lengths 5.1544, 5.1544, 16.6588 Å; angles 90.00, 90.00, 98.45 degrees
Fractional positions:
Zn1 0.1360 0.1149 0.8367
Zn2 0.8851 0.8640 0.1633
Zn3 0.1360 0.1149 0.6633
Zn4 0.8851 0.8640 0.3367
Zn5 0.5015 0.4985 0.0000
Zn6 0.5015 0.4985 0.5000
Zn7 0.6932 0.2745 0.8791
Zn8 0.7255 0.3068 0.1209
Zn9 0.6932 0.2745 0.6209
Zn10 0.7255 0.3068 0.3791
Zn11 0.3620 0.7566 0.1277
Zn12 0.2434 0.6380 0.8723
Zn13 0.3620 0.7566 0.3723
Zn14 0.2434 0.6380 0.6277
Zn15 0.9524 0.0476 0.0000
Zn16 0.9524 0.0476 0.5000
Zn17 0.4402 0.9844 0.9893
Zn18 0.0156 0.5598 0.0107
Zn19 0.4402 0.9844 0.5107
Zn20 0.0156 0.5598 0.4893
Zn21 0.4509 0.0438 0.2500
Zn22 0.9562 0.5491 0.7500
Sb1 0.5974 0.9327 0.7500
Sb2 0.0673 0.4026 0.2500
Ru1 0.7641 0.7699 0.8885
Ru2 0.2301 0.2359 0.1115
Ru3 0.7641 0.7699 0.6115
Ru4 0.2301 0.2359 0.3885
Ru5 0.4474 0.4177 0.7500
Ru6 0.5823 0.5526 0.2500


Entry 11:
First-principles (SCAN) data for a crystal of ZnSbRu relaxed with PBEsol, as listed in the Alexandria database.

Values from the calculation:
SG: No. 44
Total magnetic moment in Bohr magnetons per cell: 0.0
E_form (uncorrected) in meV/atom: -15
Relative energy among the computed polymorphs in meV per atom: 0

Cell lengths 3.2210, 3.5722, 4.7808 Å; angles 111.94, 109.69, 90.00 degrees
Fractional positions:
Ru1 0.0010 0.0010 0.0020
Sb1 0.6600 0.6600 0.3200
Zn1 0.3390 0.3390 0.6780


Entry 12:
First-principles (SCAN) data for a crystal of Zn2SbRu relaxed with PBEsol, as listed in the Alexandria database.

Values from the calculation:
SG: No. 65
Total magnetic moment in Bohr magnetons per cell: 0.0
E_form (uncorrected) in meV/atom: 189

Cell lengths 3.2160, 4.6132, 4.6132 Å; angles 111.31, 90.00, 90.00 degrees
Fractional positions:
Ru1 0.5000 0.0000 0.0000
Sb1 0.5000 0.5000 0.5000
Zn1 0.0000 0.5000 0.0000
Zn2 0.0000 0.0000 0.5000


- What is the formula in the fifth record?
  Zn2SbRu


- E_form (uncorrected) of number 11 (ZnSbRu)?
  -15 meV/atom


- The lowest E_form (uncorrected) belongs to which entry?
  Y2SbRu2